Compound: ErScSe2O
Source: Alexandria
Functional: PBE
Structure: relaxed

Summary:
magnetization	0.00	μB/f.u.
E_form (uncorrected)	-226.7	kJ per mole of atoms

Structure (CIF):
```
data_ErScSe2O
_chemical_formula_sum 'Er2 Sc2 Se4 O2'
_cell_length_a 3.852
_cell_length_b 3.852
_cell_length_c 13.932
_cell_angle_alpha 90.00
_cell_angle_beta 90.00
_cell_angle_gamma 90.00
_space_group_name_H-M_alt 'P 4/n m m'
_space_group_IT_number 129
loop_
_space_group_symop_operation_xyz
'x,y,z'
'-x,-y,-z'
'-y+1/2,x,z'
'y+1/2,-x,-z'
'-x+1/2,-y+1/2,z'
'x+1/2,y+1/2,-z'
'y,-x+1/2,z'
'-y,x+1/2,-z'
'x+1/2,-y,-z'
'-x+1/2,y,z'
'-y,-x,-z'
'y,x,z'
'-x,y+1/2,-z'
'x,-y+1/2,z'
'y+1/2,x+1/2,-z'
'-y+1/2,-x+1/2,z'
loop_
_atom_site_label
_atom_site_type_symbol
_atom_site_fract_x
_atom_site_fract_y
_atom_site_fract_z
Er1 Er 0.250 0.250 0.080
Sc1 Sc 0.250 0.250 0.621
Se1 Se 0.250 0.250 0.411
Se2 Se 0.250 0.250 0.799
O1 O 0.250 0.750 0.000
```